# 1
Entry from Alexandria: a relaxed structure of Ge2S5 (PBE).

a = 7.981 Å, b = 10.086 Å, c = 12.168 Å
α = 94.29°, β = 118.45°, γ = 90.25°
Positions (direct):
Ge  0.166  0.290  0.313
Ge  0.648  0.470  0.793
Ge  0.891  0.757  0.985
Ge  0.558  0.230  0.270
Ge  0.109  0.243  0.015
Ge  0.834  0.710  0.687
Ge  0.352  0.530  0.207
Ge  0.442  0.770  0.730
S  0.203  0.511  0.322
S  0.439  0.184  0.398
S  0.374  0.124  0.077
S  0.634  0.244  0.806
S  0.626  0.876  0.923
S  0.830  0.114  0.344
S  0.366  0.756  0.194
S  0.118  0.816  0.189
S  0.561  0.816  0.602
S  0.797  0.489  0.678
S  0.949  0.207  0.121
S  0.170  0.886  0.656
S  0.205  0.449  0.005
S  0.795  0.551  0.995
S  0.882  0.184  0.811
S  0.647  0.447  0.295
S  0.042  0.257  0.444
S  0.958  0.743  0.556
S  0.051  0.793  0.879
S  0.353  0.553  0.705

Output
The calculation puts the total magnetization at 0.0 μB per cell. The value obtained for the raw total energy is -4.502 eV per atom. As for the formation energy (no corrections): -0.235 eV per atom.

***

# 2
Entry from Alexandria: a relaxed structure of Ge2S3 (PBE).

a = 6.305 Å, b = 6.305 Å, c = 6.918 Å
α = 62.89°, β = 62.89°, γ = 60.00°
Positions (direct):
S  0.066  0.750  0.750
S  0.750  0.434  0.750
S  0.434  0.066  0.750
S  0.250  0.566  0.250
S  0.934  0.250  0.250
S  0.566  0.934  0.250
Ge  0.846  0.846  0.462
Ge  0.154  0.154  0.538
Ge  0.346  0.346  0.962
Ge  0.654  0.654  0.038

Output
The calculation puts the relative energy among the computed polymorphs at 118.1 meV per atom. The calculation puts the total magnetization at 0.0 μB per cell. The value obtained for the raw total energy is -4.407 eV per atom. As for the formation energy (no corrections): -0.084 eV per atom.

***

# 3
Entry from Alexandria: a relaxed structure of GeS (PBE).

a = 8.146 Å, b = 8.146 Å, c = 5.465 Å
α = 90.00°, β = 90.00°, γ = 120.00°
Positions (direct):
S  0.940  0.615  0.250
S  0.385  0.324  0.250
S  0.676  0.060  0.250
S  0.060  0.385  0.750
S  0.615  0.676  0.750
S  0.324  0.940  0.750
Ge  0.655  0.645  0.250
Ge  0.009  0.655  0.750
Ge  0.355  0.009  0.250
Ge  0.345  0.355  0.750
Ge  0.645  0.991  0.750
Ge  0.991  0.345  0.250

Output
The calculation puts the total magnetization at 0.0 μB per cell. The value obtained for the raw total energy is -4.527 eV per atom. As for the formation energy (no corrections): -0.155 eV per atom.

***

# 4
Entry from Alexandria: a relaxed structure of GeS2 (PBE).

a = 6.107 Å, b = 6.107 Å, c = 6.107 Å
α = 123.48°, β = 123.48°, γ = 84.07°
Positions (direct):
Ge  0.000  0.000  0.000
Ge  0.750  0.250  0.500
S  0.650  0.125  0.025
S  0.375  0.350  0.475
S  0.875  0.900  0.525
S  0.100  0.625  0.975

Output
The calculation puts the total magnetization at 0.0 μB per cell. The value obtained for the raw total energy is -4.605 eV per atom. As for the formation energy (no corrections): -0.315 eV per atom.

***

# 5
Entry from Alexandria: a relaxed structure of GeS (PBE).

a = 4.623 Å, b = 3.680 Å, c = 6.129 Å
α = 90.00°, β = 116.10°, γ = 90.00°
Positions (direct):
S  0.148  0.250  0.269
S  0.852  0.750  0.731
Ge  0.652  0.250  0.894
Ge  0.348  0.750  0.106

Output
The calculation puts the total magnetization at 0.0 μB per cell. The value obtained for the raw total energy is -4.611 eV per atom. As for the formation energy (no corrections): -0.238 eV per atom.

***

# 6
Entry from Alexandria: a relaxed structure of GeS5 (PBE).

a = 3.167 Å, b = 6.694 Å, c = 8.307 Å
α = 74.33°, β = 79.01°, γ = 76.32°
Positions (direct):
S  0.072  0.855  0.002
S  0.333  0.881  0.453
S  0.056  0.340  0.547
S  0.315  0.367  0.002
S  0.696  0.613  0.995
Ge  0.695  0.111  0.500

Output
The calculation puts the total magnetization at 0.0 μB per cell. The value obtained for the raw total energy is -3.849 eV per atom. As for the formation energy (no corrections): 0.360 eV per atom.

***

# 7
Entry from Alexandria: a relaxed structure of GeS2 (PBE).

a = 4.693 Å, b = 4.693 Å, c = 6.900 Å
α = 94.72°, β = 94.72°, γ = 139.29°
Positions (direct):
Ge  0.000  0.000  0.000
S  0.380  0.380  0.759
S  0.620  0.620  0.241

Output
The calculation puts the total magnetization at 0.0 μB per cell. The value obtained for the raw total energy is -4.158 eV per atom. As for the formation energy (no corrections): 0.132 eV per atom.

***

# 8
Entry from Alexandria: a relaxed structure of GeS8 (PBE).

a = 7.170 Å, b = 5.897 Å, c = 7.768 Å
α = 73.71°, β = 62.51°, γ = 52.56°
Each line ends with the local moment (μB).
Positions (direct):
S  0.284  0.785  0.646  0.21
S  0.660  0.680  0.000  0.01
S  0.610  0.000  0.780  0.00
S  0.070  0.215  0.646  0.21
S  0.930  0.785  0.354  0.21
S  0.340  0.320  0.000  0.01
S  0.716  0.215  0.354  0.21
S  0.390  0.000  0.220  0.00
Ge  0.000  0.000  0.000  -0.01

Output
The calculation puts the total magnetization at 1.4 μB per cell. The value obtained for the raw total energy is -3.736 eV per atom. As for the formation energy (no corrections): 0.446 eV per atom.

***

# 9
Entry from Alexandria: a relaxed structure of GeS (PBE).

a = 10.983 Å, b = 10.983 Å, c = 3.521 Å
α = 90.00°, β = 90.00°, γ = 90.00°
Positions (direct):
S  0.334  0.138  0.500
S  0.666  0.862  0.500
S  0.362  0.834  0.000
S  0.166  0.362  0.000
S  0.834  0.638  0.000
S  0.862  0.334  0.500
S  0.138  0.666  0.500
S  0.638  0.166  0.000
Ge  0.615  0.721  0.000
Ge  0.721  0.385  0.000
Ge  0.779  0.115  0.500
Ge  0.279  0.615  0.000
Ge  0.385  0.279  0.000
Ge  0.115  0.221  0.500
Ge  0.221  0.885  0.500
Ge  0.885  0.779  0.500

Output
The calculation puts the total magnetization at 0.0 μB per cell. The value obtained for the raw total energy is -4.573 eV per atom. As for the formation energy (no corrections): -0.200 eV per atom.

***

# 10
Entry from Alexandria: a relaxed structure of GeSbS4 (PBE).

a = 6.073 Å, b = 5.986 Å, c = 8.585 Å
α = 90.00°, β = 90.00°, γ = 90.00°
Positions (direct):
S  0.829  0.355  0.000
S  0.788  0.804  0.299
S  0.288  0.196  0.201
S  0.437  0.729  0.000
S  0.288  0.196  0.799
S  0.329  0.645  0.500
S  0.937  0.271  0.500
S  0.788  0.804  0.701
Ge  0.967  0.640  0.500
Ge  0.467  0.360  0.000
Sb  0.063  0.981  0.000
Sb  0.563  0.019  0.500

Output
The calculation puts the total magnetization at 0.0 μB per cell. The value obtained for the raw total energy is -4.256 eV per atom. As for the formation energy (no corrections): -0.048 eV per atom.

***

# 11
Entry from Alexandria: a relaxed structure of GeSb2S5 (PBE).

a = 5.233 Å, b = 7.825 Å, c = 11.581 Å
α = 90.00°, β = 90.00°, γ = 109.53°
Positions (direct):
Sb  0.840  0.679  0.431
Sb  0.160  0.321  0.931
Sb  0.840  0.679  0.069
Sb  0.160  0.321  0.569
S  0.055  0.110  0.393
S  0.945  0.890  0.607
S  0.285  0.570  0.087
S  0.945  0.890  0.893
S  0.285  0.570  0.413
S  0.715  0.430  0.913
S  0.298  0.596  0.750
S  0.715  0.430  0.587
S  0.055  0.110  0.107
S  0.702  0.404  0.250
Ge  0.841  0.683  0.750
Ge  0.159  0.317  0.250

Output
The calculation puts the total magnetization at 0.0 μB per cell. The value obtained for the raw total energy is -4.242 eV per atom. As for the formation energy (no corrections): -0.054 eV per atom.

***

# 12
Entry from Alexandria: a relaxed structure of GeSb2S4 (PBE).

a = 7.589 Å, b = 6.624 Å, c = 8.500 Å
α = 90.00°, β = 104.83°, γ = 90.00°
Positions (direct):
S  0.152  0.750  0.957
S  0.522  0.493  0.274
S  0.522  0.007  0.274
S  0.478  0.993  0.726
S  0.478  0.507  0.726
S  0.848  0.250  0.043
S  0.887  0.250  0.647
S  0.113  0.750  0.353
Sb  0.705  0.750  0.671
Sb  0.863  0.750  0.044
Sb  0.137  0.250  0.956
Sb  0.295  0.250  0.329
Ge  0.329  0.750  0.227
Ge  0.671  0.250  0.773

Output
The calculation puts the total magnetization at 0.0 μB per cell. The value obtained for the raw total energy is -4.303 eV per atom. As for the formation energy (no corrections): -0.107 eV per atom.